BiBPdPt2 | PBE | relaxed

Computed properties:
- Magnetic moment: 0.000 μB/f.u.
- Space-group type: P4/mmm (123)
- Calculated formation energy: -0.18 eV/atom

Unit cell a=4.295 b=4.295 c=4.495 alpha=90.00 beta=90.00 gamma=90.00
Element x y z (fractional)
B  0.000  0.000  0.000
Pd  0.000  0.000  0.500
Bi  0.500  0.500  0.500
Pt  0.000  0.500  0.000
Pt  0.500  0.000  0.000